Zr6OsRh2, relaxed, DFT PBE; total DFT energy (no corrections) = -160.86 eV/cell; volume = 371.6 Å³ per cell; space group = P2_1/c (14)
1.0
5.569 0.000 0.000
0.000 7.185 0.000
-5.415 0.000 9.286
Zr Os Rh
12 2 4
Cartesian
-0.904 0.431 2.276
-3.612 3.161 6.919
0.757 5.164 0.583
-1.951 5.613 5.226
1.903 1.059 0.420
-0.805 2.534 5.063
0.959 4.651 4.223
-1.749 6.126 8.866
2.105 1.572 4.060
-0.603 2.020 8.703
3.766 4.023 2.367
1.058 6.754 7.011
0.077 0.000 4.643
2.785 3.592 0.000
-1.971 0.686 6.710
0.737 2.906 2.067
-0.583 4.279 7.220
2.125 6.498 2.577

ZnTc3Ag, relaxed, DFT PBE; total DFT energy (no corrections) = -22.89 eV/cell; relative energy among the computed polymorphs = 686 meV/atom; volume = 119.1 Å³ per cell; space group = Pm-3m (221)
1.0
4.920 0.000 0.000
0.000 4.920 0.000
0.000 0.000 4.920
Zn Tc Ag
1 3 1
Cartesian
0.000 0.000 0.000
0.000 2.460 2.460
2.460 0.000 2.460
2.460 2.460 0.000
2.460 2.460 2.460

LiTcRu2, relaxed, DFT PBE; total DFT energy (no corrections) = -29.69 eV/cell; relative energy among the computed polymorphs = 186 meV/atom; volume = 57.3 Å³ per cell; space group = Cmmm (65)
1.0
1.405 -2.259 0.000
1.405 2.259 0.000
0.000 0.000 9.019
Li Tc Ru
1 1 2
Cartesian
0.000 0.000 0.000
0.000 0.000 4.510
1.405 0.000 2.288
1.405 0.000 6.731

Which of these has the highest total DFT energy (no corrections)?
ZnTc3Ag

What is the formula in the second record?
ZnTc3Ag

Number 1 is which compound?
Zr6OsRh2

Copy entry 2 word for word.
ZnTc3Ag, relaxed, DFT PBE; total DFT energy (no corrections) = -22.89 eV/cell; relative energy among the computed polymorphs = 686 meV/atom; volume = 119.1 Å³ per cell; space group = Pm-3m (221)
1.0
4.920 0.000 0.000
0.000 4.920 0.000
0.000 0.000 4.920
Zn Tc Ag
1 3 1
Cartesian
0.000 0.000 0.000
0.000 2.460 2.460
2.460 0.000 2.460
2.460 2.460 0.000
2.460 2.460 2.460